[1]
A plane-wave DFT calculation with GGA-PBEsol was carried out for a relaxed RbIn3Mo crystal.

- total moment (μB/f.u.) = 0.000
- E above lowest polymorph (meV per atom) = 0
- space-group type = Pm-3m (221)

Unit cell a=5.3028 b=5.3028 c=5.3028 alpha=90.00 beta=90.00 gamma=90.00
Sites, in units of the cell vectors:
Mo1 0.0000 0.0000 0.0000
Rb1 0.5000 0.5000 0.5000
In1 0.0000 0.5000 0.0000
In2 0.0000 0.0000 0.5000
In3 0.5000 0.0000 0.0000

[2]
A plane-wave DFT calculation with GGA-PBEsol was carried out for a relaxed K3PtI crystal.

- total moment (μB/f.u.) = 0.252
- space-group type = Pm-3m (221)
- E_form (uncorrected) (meV/atom) = 7

Unit cell a=6.2432 b=6.2432 c=6.2432 alpha=90.00 beta=90.00 gamma=90.00
Sites, in units of the cell vectors:
I1 0.0000 0.0000 0.0000
K1 0.0000 0.5000 0.0000
K2 0.0000 0.0000 0.5000
K3 0.5000 0.0000 0.0000
Pt1 0.5000 0.5000 0.5000

Number 1: ρ 5856 kg/m³, Fermi-level density of states 3.0 states/eV/f.u., E -0.30244 Ry per atom. Number 2: ρ 2998 kg/m³, Fermi-level density of states 3.6 states/eV/f.u., E -0.17782 Ry per atom.